The following is a DFT calculation (GGA-PBE) of crystalline Li2HfO at its relaxed geometry.

Calculated values
Crystal system: tetragonal
VASP energy: -5.057 eV per atom
Formation energy (no corrections): -372.1 meV/atom
Calculated volume: 15.6 Å³ per atom

CIF file:
```
data_Li2HfO
_chemical_formula_sum 'Li4 Hf2 O2'
_cell_length_a 5.608
_cell_length_b 5.608
_cell_length_c 5.608
_cell_angle_alpha 120.09
_cell_angle_beta 120.09
_cell_angle_gamma 89.84
_symmetry_space_group_name_H-M 'P 1'
_symmetry_Int_Tables_number 1
_symmetry_space_group_name_Hall 'P 1'
loop_
_atom_site_label
_atom_site_type_symbol
_atom_site_fract_x
_atom_site_fract_y
_atom_site_fract_z
Li1 Li 0.375 0.121 0.246
Li2 Li 0.871 0.625 0.746
Li3 Li 0.875 0.129 0.754
Li4 Li 0.879 0.125 0.254
Hf1 Hf 0.250 0.750 0.500
Hf2 Hf 0.500 0.500 0.000
O1 O 0.000 0.000 0.000
O2 O 0.750 0.250 0.500
```